# 1
Compound: AsOs
Source: the Alexandria database
Functional: PBE-GGA
Structure: relaxed Values from VASP.

Cell and atoms, written as Quantum ESPRESSO input:
```
&SYSTEM
  ibrav = 0, nat = 6, ntyp = 2
/
ATOMIC_SPECIES
As 74.92 As.upf
Os 190.23 Os.upf
CELL_PARAMETERS angstrom
0.594 -3.991 5.208
2.812 -2.115 5.570
-2.715 2.346 4.476
ATOMIC_POSITIONS crystal
As 0.344 0.344 0.397
As 0.595 0.595 0.646
As 0.645 0.645 0.135
Os 0.997 0.997 0.040
Os 0.935 0.935 0.616
Os 0.317 0.317 0.999
```

Output
- Mass density: 13.00 Mg/m³
- DFT total energy: -45.73 eV/cell


# 2
Compound: RbAs3Cl
Source: the Alexandria database
Functional: PBE-GGA
Structure: relaxed Values from VASP.

Cell and atoms, written as Quantum ESPRESSO input:
```
&SYSTEM
  ibrav = 0, nat = 5, ntyp = 3
/
ATOMIC_SPECIES
As 74.92 As.upf
Rb 85.47 Rb.upf
Cl 35.45 Cl.upf
CELL_PARAMETERS angstrom
7.105 0.000 0.000
0.000 7.105 0.000
0.000 0.000 7.105
ATOMIC_POSITIONS crystal
As 0.000 0.500 0.000
As 0.000 0.000 0.500
As 0.500 0.000 0.000
Rb 0.000 0.000 0.000
Cl 0.500 0.500 0.500
```

Output
- Mass density: 1.60 Mg/m³
- Distance to the lowest polymorph of the same formula: 786 meV per atom
- DFT total energy: -9.48 eV/cell
- Formation energy without anion corrections: 1.46 eV/atom